Entry 1:
Sm6Ga2Sn | PBE | optimized geometry

```
Sm6Ga2Sn
1.0
-2.427 2.546 8.096
8.397 -2.706 -0.292
-0.292 6.624 -5.827
Sm Ga Sn
12 4 2
Direct
0.533 0.719 0.814
0.467 0.281 0.186
0.096 0.281 0.814
0.904 0.719 0.186
0.798 0.764 0.562
0.202 0.236 0.438
0.202 0.764 0.965
0.798 0.236 0.035
0.704 0.383 0.678
0.296 0.617 0.322
0.296 0.974 0.678
0.704 0.026 0.322
0.500 0.381 0.881
0.500 0.619 0.119
0.642 0.000 0.642
0.358 0.000 0.358
0.000 0.500 0.500
0.000 0.000 0.000
```

Properties
- Energy: -85.06 eV/cell
- Magnetization: 0.00 μB/f.u.
- Formation enthalpy at 0 K: -0.46 eV per atom
- SG: Immm

Entry 2:
Sm4Ga2Sn | PBE | optimized geometry

```
Sm4Ga2Sn
1.0
-4.563 -1.896 -0.122
-1.044 -4.094 2.565
-4.380 3.544 8.635
Sm Ga Sn
4 2 1
Direct
0.383 0.383 0.852
0.201 0.201 0.397
0.799 0.799 0.603
0.617 0.617 0.148
0.098 0.098 0.707
0.902 0.902 0.293
0.000 0.000 0.000
```

Properties
- Energy: -31.55 eV/cell
- Magnetization: 0.00 μB/f.u.
- Formation enthalpy at 0 K: -0.37 eV per atom
- SG: R-3m

Entry 3:
SmGa2Sn2 | PBE | optimized geometry

```
SmGa2Sn2
1.0
-2.695 -1.700 3.475
-0.564 -3.969 -2.379
10.016 -3.218 2.994
Sm Ga Sn
2 4 4
Direct
0.365 0.250 0.731
0.635 0.750 0.269
0.036 0.750 0.073
0.470 0.750 0.940
0.964 0.250 0.927
0.530 0.250 0.060
0.749 0.250 0.498
0.251 0.750 0.502
0.875 0.750 0.750
0.125 0.250 0.250
```

Properties
- Energy: -41.24 eV/cell
- Magnetization: 0.00 μB/f.u.
- Formation enthalpy at 0 K: -0.37 eV per atom
- SG: Cmcm

Entry 4:
Sm2Ga3Sn2 | PBE | optimized geometry

```
Sm2Ga3Sn2
1.0
-1.657 -7.379 -1.325
2.320 0.836 7.271
-6.258 4.283 -1.199
Sm Ga Sn
4 6 4
Direct
0.000 0.000 0.493
0.500 0.493 0.500
0.507 0.007 0.007
0.993 0.500 0.000
0.759 0.750 0.009
0.741 0.250 0.491
0.991 0.241 0.250
0.509 0.259 0.750
0.250 0.009 0.259
0.750 0.491 0.241
0.000 0.000 0.887
0.500 0.887 0.500
0.113 0.613 0.613
0.387 0.500 0.000
```

Properties
- Energy: -58.16 eV/cell
- Magnetization: 0.00 μB/f.u.
- Formation enthalpy at 0 K: -0.36 eV per atom
- SG: I2_13

Entry 5:
SmGa2Sn | PBE | optimized geometry

```
SmGa2Sn
1.0
-1.048 4.037 1.303
-3.848 -0.230 -2.380
-2.130 -1.718 3.610
Ga Sn Sm
2 1 1
Direct
0.000 0.000 0.500
0.000 0.500 0.000
0.500 0.000 0.000
0.500 0.500 0.500
```

Properties
- Energy: -16.83 eV/cell
- Magnetization: 0.00 μB/f.u.
- Formation enthalpy at 0 K: -0.51 eV per atom
- SG: P4/mmm
- ΔE to the lowest computed polymorph: 0.00 eV/f.u.

Entry 6:
Sm4Ga12Sn | PBE | optimized geometry

```
Sm4Ga12Sn
1.0
7.295 0.000 -2.579
-3.647 6.317 -2.579
0.000 0.000 7.737
Sm Ga Sn
4 12 1
Direct
0.000 0.000 0.500
0.500 0.000 0.000
0.500 0.500 0.500
0.000 0.500 0.000
0.000 0.321 0.321
0.000 0.679 0.679
0.679 0.679 0.000
0.321 0.321 0.000
0.321 0.000 0.321
0.679 0.000 0.679
0.500 0.250 0.750
0.500 0.750 0.250
0.750 0.250 0.500
0.250 0.750 0.500
0.750 0.500 0.250
0.250 0.500 0.750
0.000 0.000 0.000
```

Properties
- Energy: -67.48 eV/cell
- Magnetization: 0.00 μB/f.u.
- Formation enthalpy at 0 K: -0.49 eV per atom
- SG: Im-3m

Entry 7:
Sm3GaSn3 | PBE | optimized geometry

```
Sm3GaSn3
1.0
4.420 0.000 0.666
2.157 5.801 0.684
0.028 0.425 14.820
Sm Ga Sn
6 2 6
Direct
0.512 0.355 0.622
0.488 0.645 0.378
0.271 0.227 0.232
0.729 0.773 0.768
0.394 0.289 0.924
0.606 0.711 0.076
0.775 0.079 0.370
0.225 0.921 0.630
0.857 0.747 0.539
0.143 0.253 0.461
0.121 0.834 0.923
0.879 0.166 0.077
0.000 0.775 0.226
0.000 0.225 0.774
```

Properties
- Energy: -68.12 eV/cell
- Magnetization: 0.00 μB/f.u.
- Formation enthalpy at 0 K: -0.70 eV per atom
- SG: C2/m
- ΔE to the lowest computed polymorph: 0.00 eV/f.u.

Entry 8:
SmGaSn | PBE | optimized geometry

```
SmGaSn
1.0
3.408 -0.407 0.486
-0.815 5.764 -1.630
-0.093 -4.543 9.037
Sn Ga Sm
2 2 2
Direct
0.849 0.622 0.925
0.151 0.378 0.075
0.169 0.778 0.440
0.831 0.222 0.560
0.561 0.849 0.728
0.439 0.151 0.272
```

Properties
- Energy: -26.09 eV/cell
- Magnetization: 0.14 μB/f.u.
- Formation enthalpy at 0 K: -0.43 eV per atom
- SG: P-1